Record 1
# AcTbBN3

A relaxed structure of AcTbBN3 (PBE-GGA, Alexandria).

abc: 5.7027 5.7027 6.1316
angles: 90.00 90.00 120.00
Space group P6_3/mmc (No. 194)
Inequivalent atoms, fractional coordinates:
Ac (0.3333, 0.6667, 0.2500)
Tb (0.0000, 0.0000, 0.0000)
B (0.3333, 0.6667, 0.7500)
N (0.1841, 0.3682, 0.7500)

Output
Electronic total energy (eV for the cell shown): -96.31
ΔE_f (raw) (eV per atom): -1.29
Crystal system: hexagonal

Record 2
# Ac2TcB2N6

A relaxed structure of Ac2TcB2N6 (PBE-GGA, Alexandria).

abc: 5.3565 5.3565 15.8814
angles: 90.00 90.00 120.00
Space group R-3m (No. 166, hexagonal axes)
Inequivalent atoms, fractional coordinates:
Ac (0.0000, 0.0000, 0.2272)
Tc (0.0000, 0.0000, 0.0000)
B (0.0000, 0.0000, 0.4112)
N (0.0179, 0.5089, 0.2571)

Output
Electronic total energy (eV for the cell shown): -272.09
ΔE_f (raw) (eV per atom): -0.80
D(E_F) (states/eV per atom): 0.11
Crystal system: trigonal

Record 3
# AcThBN3

A relaxed structure of AcThBN3 (PBE-GGA, Alexandria).

abc: 5.6088 5.6088 7.0060
angles: 90.00 90.00 120.00
Space group P6_3/mmc (No. 194)
Inequivalent atoms, fractional coordinates:
Ac (0.3333, 0.6667, 0.2500)
Th (0.0000, 0.0000, 0.0000)
B (0.3333, 0.6667, 0.7500)
N (0.1807, 0.3614, 0.7500)

Output
Electronic total energy (eV for the cell shown): -100.13
ΔE_f (raw) (eV per atom): -1.15
D(E_F) (states/eV per atom): 0.36
Crystal system: hexagonal

Q: The highest electronic total energy belongs to which entry?
A: AcTbBN3

Q: What is the ΔE_f (raw) in the third record?
A: -1.15 eV per atom